An optimized crystal structure of Pb5Au2. Source: Alexandria via LeMat-Bulk, functional PBE.

Final energy in eV per atom: -3.6202
Calculated formation energy in eV/atom: -0.03

Cell lengths 8.6981, 8.6981, 7.0707 Å; angles 97.46, 97.46, 48.60 degrees
Fractional coordinates of all 14 atoms:
Pb 0.0571 0.9429 0.7500
Pb 0.1295 0.3097 0.2839
Pb 0.2763 0.5377 0.0341
Pb 0.3097 0.1295 0.7839
Pb 0.4623 0.7237 0.4659
Pb 0.5377 0.2763 0.5341
Pb 0.6903 0.8705 0.2161
Pb 0.7237 0.4623 0.9659
Pb 0.8705 0.6903 0.7161
Pb 0.9429 0.0571 0.2500
Au 0.1236 0.6600 0.4251
Au 0.3400 0.8764 0.0749
Au 0.6600 0.1236 0.9251
Au 0.8764 0.3400 0.5749

---

An optimized crystal structure of PbAu5. Source: Alexandria via LeMat-Bulk, functional PBE.

Final energy in eV per atom: -3.3294
Calculated formation energy in eV/atom: 0.02

Cell lengths 3.5553, 3.5553, 9.5503 Å; angles 90.00, 90.00, 90.00 degrees
Fractional coordinates of all 6 atoms:
Pb 0.0000 0.0000 0.0000
Au 0.0000 0.0000 0.3465
Au 0.0000 0.0000 0.6535
Au 0.5000 0.5000 0.1949
Au 0.5000 0.5000 0.5000
Au 0.5000 0.5000 0.8051

---

An optimized crystal structure of PbAu7. Source: Alexandria via LeMat-Bulk, functional PBE.

Final energy in eV per atom: -3.2657
Calculated formation energy in eV/atom: 0.07

Cell lengths 6.0228, 6.0228, 6.0228 Å; angles 60.00, 60.00, 60.00 degrees
Fractional coordinates of all 8 atoms:
Pb 0.0000 0.0000 0.0000
Au 0.0000 0.0000 0.5000
Au 0.0000 0.5000 0.0000
Au 0.0000 0.5000 0.5000
Au 0.5000 0.0000 0.0000
Au 0.5000 0.0000 0.5000
Au 0.5000 0.5000 0.0000
Au 0.5000 0.5000 0.5000